# 1
# PBE La2PdAuC, relaxed
# VASP energy   -29.849 eV for the cell shown
# Symmetry   P4/mmm, No. 123
data_La2PdAuC
_cell_length_a 5.311
_cell_length_b 5.311
_cell_length_c 4.029
_cell_angle_alpha 90.00
_cell_angle_beta 90.00
_cell_angle_gamma 90.00
_symmetry_space_group_name_H-M 'P 1'
_symmetry_Int_Tables_number 1
loop_
_symmetry_equiv_pos_as_xyz
'x,y,z'
loop_
_atom_site_label
_atom_site_type_symbol
_atom_site_fract_x
_atom_site_fract_y
_atom_site_fract_z
_atom_site_occupancy
La1 La 0.000 0.500 0.000 1
La2 La 0.500 0.000 0.000 1
Pd1 Pd 0.000 0.000 0.500 1
Au1 Au 0.500 0.500 0.500 1
C1 C 0.000 0.000 0.000 1

=====

# 2
# PBE La8PtAu2C, relaxed
# VASP energy   -66.138 eV for the cell shown
# Symmetry   P-1, No. 2
data_La8PtAu2C
_cell_length_a 6.864
_cell_length_b 7.013
_cell_length_c 8.285
_cell_angle_alpha 90.07
_cell_angle_beta 90.13
_cell_angle_gamma 90.68
_symmetry_space_group_name_H-M 'P 1'
_symmetry_Int_Tables_number 1
loop_
_symmetry_equiv_pos_as_xyz
'x,y,z'
loop_
_atom_site_label
_atom_site_type_symbol
_atom_site_fract_x
_atom_site_fract_y
_atom_site_fract_z
_atom_site_occupancy
La1 La 0.206 0.189 0.498 1
La2 La 0.232 0.643 0.281 1
La3 La 0.233 0.642 0.720 1
La4 La 0.238 0.163 0.000 1
La5 La 0.762 0.837 0.000 1
La6 La 0.767 0.358 0.280 1
La7 La 0.768 0.357 0.719 1
La8 La 0.794 0.811 0.502 1
Pt1 Pt 0.000 0.500 0.000 1
Au1 Au 0.499 0.001 0.734 1
Au2 Au 0.501 0.999 0.266 1
C1 C 0.000 0.500 0.500 1

=====

# 3
# PBE La2RhAuC, relaxed
# Symmetry   P4/mmm, No. 123
# Energy above the most stable polymorph in this dataset   6.34 eV per formula unit
data_La2RhAuC
_cell_length_a 5.356
_cell_length_b 5.356
_cell_length_c 5.022
_cell_angle_alpha 90.00
_cell_angle_beta 90.00
_cell_angle_gamma 90.00
_symmetry_space_group_name_H-M 'P 1'
_symmetry_Int_Tables_number 1
loop_
_symmetry_equiv_pos_as_xyz
'x,y,z'
loop_
_atom_site_label
_atom_site_type_symbol
_atom_site_fract_x
_atom_site_fract_y
_atom_site_fract_z
_atom_site_occupancy
La1 La 0.000 0.500 0.000 1
La2 La 0.500 0.000 0.000 1
Rh1 Rh 0.000 0.000 0.000 1
Au1 Au 0.000 0.000 0.500 1
C1 C 0.500 0.500 0.500 1

=====

# 4
# PBE La6RhAu2C, relaxed
# VASP energy   -115.703 eV for the cell shown
# Symmetry   P2_1/c, No. 14
data_La6RhAu2C
_cell_length_a 7.045
_cell_length_b 7.745
_cell_length_c 12.680
_cell_angle_alpha 90.00
_cell_angle_beta 123.59
_cell_angle_gamma 90.00
_symmetry_space_group_name_H-M 'P 1'
_symmetry_Int_Tables_number 1
loop_
_symmetry_equiv_pos_as_xyz
'x,y,z'
loop_
_atom_site_label
_atom_site_type_symbol
_atom_site_fract_x
_atom_site_fract_y
_atom_site_fract_z
_atom_site_occupancy
La1 La 0.120 0.031 0.238 1
La2 La 0.120 0.469 0.738 1
La3 La 0.223 0.702 0.056 1
La4 La 0.223 0.798 0.556 1
La5 La 0.365 0.179 0.061 1
La6 La 0.365 0.321 0.561 1
La7 La 0.635 0.679 0.439 1
La8 La 0.635 0.821 0.939 1
La9 La 0.777 0.202 0.444 1
La10 La 0.777 0.298 0.944 1
La11 La 0.880 0.531 0.262 1
La12 La 0.880 0.969 0.762 1
Rh1 Rh 0.500 0.000 0.500 1
Rh2 Rh 0.500 0.500 0.000 1
Au1 Au 0.290 0.093 0.744 1
Au2 Au 0.290 0.407 0.244 1
Au3 Au 0.710 0.593 0.756 1
Au4 Au 0.710 0.907 0.256 1
C1 C 0.000 0.000 0.000 1
C2 C 0.000 0.500 0.500 1

=====

# 5
# PBE La2RhAuC, relaxed
# Symmetry   P4/mmm, No. 123
# Energy above the most stable polymorph in this dataset   0.00 eV per formula unit
data_La2RhAuC
_cell_length_a 5.349
_cell_length_b 5.349
_cell_length_c 3.915
_cell_angle_alpha 90.00
_cell_angle_beta 90.00
_cell_angle_gamma 90.00
_symmetry_space_group_name_H-M 'P 1'
_symmetry_Int_Tables_number 1
loop_
_symmetry_equiv_pos_as_xyz
'x,y,z'
loop_
_atom_site_label
_atom_site_type_symbol
_atom_site_fract_x
_atom_site_fract_y
_atom_site_fract_z
_atom_site_occupancy
La1 La 0.000 0.500 0.000 1
La2 La 0.500 0.000 0.000 1
Rh1 Rh 0.000 0.000 0.500 1
Au1 Au 0.500 0.500 0.500 1
C1 C 0.000 0.000 0.000 1

=====

# 6
# PBE La8Rh2AuC, relaxed
# VASP energy   -71.065 eV for the cell shown
# Symmetry   P-1, No. 2
data_La8Rh2AuC
_cell_length_a 6.695
_cell_length_b 6.807
_cell_length_c 8.429
_cell_angle_alpha 90.00
_cell_angle_beta 89.95
_cell_angle_gamma 89.62
_symmetry_space_group_name_H-M 'P 1'
_symmetry_Int_Tables_number 1
loop_
_symmetry_equiv_pos_as_xyz
'x,y,z'
loop_
_atom_site_label
_atom_site_type_symbol
_atom_site_fract_x
_atom_site_fract_y
_atom_site_fract_z
_atom_site_occupancy
La1 La 0.230 0.144 0.000 1
La2 La 0.262 0.655 0.287 1
La3 La 0.262 0.655 0.713 1
La4 La 0.263 0.180 0.500 1
La5 La 0.737 0.820 0.500 1
La6 La 0.738 0.345 0.287 1
La7 La 0.738 0.345 0.713 1
La8 La 0.770 0.856 0.000 1
Rh1 Rh 0.000 0.000 0.257 1
Rh2 Rh 0.000 0.000 0.743 1
Au1 Au 0.500 0.500 0.000 1
C1 C 0.500 0.500 0.500 1

=====

# 7
# PBE La2RuAuC, relaxed
# VASP energy   -33.946 eV for the cell shown
# Symmetry   P4/mmm, No. 123
data_La2RuAuC
_cell_length_a 5.339
_cell_length_b 5.339
_cell_length_c 3.914
_cell_angle_alpha 90.00
_cell_angle_beta 90.00
_cell_angle_gamma 90.00
_symmetry_space_group_name_H-M 'P 1'
_symmetry_Int_Tables_number 1
loop_
_symmetry_equiv_pos_as_xyz
'x,y,z'
loop_
_atom_site_label
_atom_site_type_symbol
_atom_site_fract_x
_atom_site_fract_y
_atom_site_fract_z
_atom_site_occupancy
La1 La 0.000 0.500 0.000 1
La2 La 0.500 0.000 0.000 1
Ru1 Ru 0.000 0.000 0.500 1
Au1 Au 0.500 0.500 0.500 1
C1 C 0.000 0.000 0.000 1

=====

# 8
# PBE La8RuAu2C, relaxed
# VASP energy   -68.533 eV for the cell shown
# Symmetry   P-1, No. 2
data_La8RuAu2C
_cell_length_a 6.912
_cell_length_b 7.348
_cell_length_c 7.805
_cell_angle_alpha 104.97
_cell_angle_beta 106.49
_cell_angle_gamma 92.34
_symmetry_space_group_name_H-M 'P 1'
_symmetry_Int_Tables_number 1
loop_
_symmetry_equiv_pos_as_xyz
'x,y,z'
loop_
_atom_site_label
_atom_site_type_symbol
_atom_site_fract_x
_atom_site_fract_y
_atom_site_fract_z
_atom_site_occupancy
La1 La 0.179 0.192 0.467 1
La2 La 0.192 0.163 0.963 1
La3 La 0.254 0.656 0.362 1
La4 La 0.255 0.649 0.837 1
La5 La 0.745 0.351 0.163 1
La6 La 0.746 0.344 0.638 1
La7 La 0.808 0.837 0.037 1
La8 La 0.821 0.808 0.533 1
Ru1 Ru 0.000 0.500 0.000 1
Au1 Au 0.496 0.000 0.740 1
Au2 Au 0.504 0.000 0.260 1
C1 C 0.000 0.500 0.500 1